[1]
Material: Ag2H8PdPt3
Method: DFT, PBE-GGA
State: relaxed

Cell lengths 5.6774, 5.6774, 14.7140 Å; angles 90.00, 90.00, 120.00 degrees
Space group R3m (No. 160, hexagonal axes)
Inequivalent atoms, fractional coordinates:
Ag 0.0000 0.0000 0.0000 x3
Ag 0.0000 0.0000 0.3574 x3
H 0.0000 0.0000 0.2255 x3
H 0.0000 0.0000 0.7569 x3
H 0.0042 0.5021 0.2290 x9
H 0.0161 0.5080 0.7789 x9
Pd 0.0000 0.0000 0.6341 x3
Pt 0.0040 0.5020 0.4999 x9

## Properties
Raw total energy   -3.88 eV/atom
Magnetization   0.0 μB/f.u.

[2]
Material: TaMoP
Method: DFT, PBE-GGA
State: relaxed

Cell lengths 5.845, 5.845, 5.845 Å; angles 90.00, 90.00, 90.00 degrees
Space group F-43m (No. 216)
Inequivalent atoms, fractional coordinates:
Ta 0.000 0.000 0.000 x4
Mo 0.000 0.000 0.500 x4
P 0.250 0.250 0.750 x4

## Properties
Raw total energy   -9.38 eV/atom
Formation energy   -0.011 eV/atom
Magnetization   0.0 μB/f.u.

[3]
Material: LaPm4Y7
Method: DFT, PBE-GGA
State: relaxed

Cell lengths 6.641, 6.925, 9.150 Å; angles 85.19, 76.97, 81.69 degrees
Space group P-1 (No. 2)
Inequivalent atoms, fractional coordinates:
La 0.000 0.000 0.000 x1
Pm 0.162 0.614 0.310 x2
Pm 0.363 0.190 0.713 x2
Y 0.000 0.500 0.000 x1
Y 0.188 0.106 0.384 x2
Y 0.322 0.694 0.641 x2
Y 0.486 0.252 0.048 x2

## Properties
Raw total energy   -5.69 eV/atom
Formation energy   0.079 eV/atom
Magnetization   0.0 μB/f.u.
Energy above the most stable polymorph in this dataset   0 meV per atom

[4]
Material: Ca4InGaAg2
Method: DFT, PBE-GGA
State: relaxed

Cell lengths 5.2907, 5.2907, 25.9604 Å; angles 90.00, 90.00, 120.00 degrees
Space group R-3m (No. 166, hexagonal axes)
Inequivalent atoms, fractional coordinates:
Ca 0.0000 0.0000 0.1216 x6
Ca 0.0000 0.0000 0.3720 x6
In 0.0000 0.0000 0.5000 x3
Ga 0.0000 0.0000 0.0000 x3
Ag 0.0000 0.0000 0.2474 x6

## Properties
Raw total energy   -2.80 eV/atom
Formation energy   -0.367 eV/atom
Magnetization   0.0 μB/f.u.

[5]
Material: Ho5TeSe4
Method: DFT, PBE-GGA
State: relaxed

Cell lengths 4.1164, 4.1164, 50.3105 Å; angles 90.00, 90.00, 120.00 degrees
Space group R-3m (No. 166, hexagonal axes)
Inequivalent atoms, fractional coordinates:
Ho 0.0000 0.0000 0.0000 x3
Ho 0.0000 0.0000 0.2061 x6
Ho 0.0000 0.0000 0.3985 x6
Te 0.0000 0.0000 0.5000 x3
Se 0.0000 0.0000 0.0965 x6
Se 0.0000 0.0000 0.3011 x6

## Properties
Raw total energy   -5.62 eV/atom
Energy relative to the elements, uncorrected   -16.2 eV per formula unit
Magnetization   0.0 μB/f.u.
Energy above the most stable polymorph in this dataset   0 meV per atom

[6]
Material: Ga4SnHg
Method: DFT, PBE-GGA
State: relaxed

Cell lengths 4.027, 5.384, 6.466 Å; angles 83.44, 73.24, 79.68 degrees
Space group P1 (No. 1)
Inequivalent atoms, fractional coordinates:
Ga 0.000 0.000 0.000 x1
Ga 0.022 0.483 0.488 x1
Ga 0.676 0.476 0.190 x1
Ga 0.699 0.956 0.682 x1
Sn 0.350 0.478 0.839 x1
Hg 0.349 0.980 0.341 x1

## Properties
Raw total energy   -2.68 eV/atom
Formation energy   0.059 eV/atom
Magnetization   0.0 μB/f.u.
Energy above the most stable polymorph in this dataset   0 meV per atom

[7]
Material: CeCo5AsP2
Method: DFT, PBE-GGA
State: relaxed

Cell lengths 3.709, 3.709, 9.487 Å; angles 90.00, 90.00, 90.00 degrees
Space group P4/mmm (No. 123)
Inequivalent atoms, fractional coordinates:
Ce 0.000 0.000 0.000 x1
Co 0.000 0.500 0.347 x4
Co 0.500 0.500 0.000 x1
As 0.000 0.000 0.500 x1
P 0.500 0.500 0.227 x2

## Properties
Raw total energy   -6.87 eV/atom
Formation energy   -0.541 eV/atom
Magnetization   0.0 μB/f.u.

[8]
Material: Cu3NiPd3
Method: DFT, PBE-GGA
State: relaxed

Cell lengths 8.447, 8.463, 5.558 Å; angles 90.00, 90.00, 90.00 degrees
Space group Cmmm (No. 65)
Inequivalent atoms, fractional coordinates:
Cu 0.000 0.170 0.000 x4
Cu 0.000 0.219 0.500 x4
Cu 0.214 0.000 0.500 x4
Ni 0.240 0.000 0.000 x4
Pd 0.000 0.500 0.251 x4
Pd 0.250 0.250 0.246 x8

## Properties
Raw total energy   -4.72 eV/atom
Formation energy   0.089 eV/atom
Magnetization   1.1 μB/f.u.
Energy above the most stable polymorph in this dataset   0 meV per atom

Please write out number 5 again, unchanged.
Material: Ho5TeSe4
Method: DFT, PBE-GGA
State: relaxed

Cell lengths 4.1164, 4.1164, 50.3105 Å; angles 90.00, 90.00, 120.00 degrees
Space group R-3m (No. 166, hexagonal axes)
Inequivalent atoms, fractional coordinates:
Ho 0.0000 0.0000 0.0000 x3
Ho 0.0000 0.0000 0.2061 x6
Ho 0.0000 0.0000 0.3985 x6
Te 0.0000 0.0000 0.5000 x3
Se 0.0000 0.0000 0.0965 x6
Se 0.0000 0.0000 0.3011 x6

## Properties
Raw total energy   -5.62 eV/atom
Energy relative to the elements, uncorrected   -16.2 eV per formula unit
Magnetization   0.0 μB/f.u.
Energy above the most stable polymorph in this dataset   0 meV per atom

Question: Which value of raw total energy does entry 7 give?
Answer: -6.87 eV/atom

Question: raw total energy of number 8 (Cu3NiPd3)?
Answer: -4.72 eV/atom

Repeat the sixth record exactly.
Material: Ga4SnHg
Method: DFT, PBE-GGA
State: relaxed

Cell lengths 4.027, 5.384, 6.466 Å; angles 83.44, 73.24, 79.68 degrees
Space group P1 (No. 1)
Inequivalent atoms, fractional coordinates:
Ga 0.000 0.000 0.000 x1
Ga 0.022 0.483 0.488 x1
Ga 0.676 0.476 0.190 x1
Ga 0.699 0.956 0.682 x1
Sn 0.350 0.478 0.839 x1
Hg 0.349 0.980 0.341 x1

## Properties
Raw total energy   -2.68 eV/atom
Formation energy   0.059 eV/atom
Magnetization   0.0 μB/f.u.
Energy above the most stable polymorph in this dataset   0 meV per atom